(1)
A geometry-optimized YSeI2 structure. Source: Alexandria, functional GGA-PBE.

The structure in POSCAR format:
```
YSeI2
1.0
0.000 3.849 3.849
3.849 0.000 3.849
3.849 3.849 0.000
Y Se I
1 1 2
direct
0.000 0.000 0.000
0.500 0.500 0.500
0.250 0.250 0.250
0.750 0.750 0.750
```

Values from the calculation:
As for the density: 6.14 g cm⁻³. The uncorrected formation energy comes out at -0.53 eV/atom. The calculation puts the density of states at the Fermi level at 4.4 states/eV/f.u. The calculation puts the magnetic moment at 0.69 Bohr magnetons per cell. The total energy comes out at -3.7935 eV per atom. The energy above the lowest structure with this stoichiometry comes out at 435 meV/atom. The calculated volume comes out at 114 Å³/f.u.



(2)
A geometry-optimized YSeI3 structure. Source: Alexandria, functional GGA-PBE.

The structure in POSCAR format:
```
YSeI3
1.0
6.018 0.000 0.000
0.000 6.018 0.000
0.000 0.000 6.018
Y Se I
1 1 3
direct
0.000 0.000 0.000
0.500 0.500 0.500
0.000 0.000 0.500
0.000 0.500 0.000
0.500 0.000 0.000
```

Values from the calculation:
As for the density: 4.18 g cm⁻³. The uncorrected formation energy comes out at -0.52 eV/atom. The calculation puts the density of states at the Fermi level at 5.4 states/eV/f.u. The calculation puts the magnetic moment at 2.00 Bohr magnetons per cell. The total energy comes out at -3.4413 eV per atom. The energy above the lowest structure with this stoichiometry comes out at 0 meV/atom. The calculated volume comes out at 218 Å³/f.u.



(3)
A geometry-optimized Y2Se2I structure. Source: Alexandria, functional GGA-PBE.

The structure in POSCAR format:
```
Y2Se2I
1.0
8.225 0.000 0.000
0.000 8.225 0.000
0.000 0.000 3.777
Y Se I
4 4 2
direct
0.149 0.351 0.000
0.351 0.851 0.000
0.649 0.149 0.000
0.851 0.649 0.000
0.138 0.638 0.500
0.362 0.138 0.500
0.638 0.862 0.500
0.862 0.362 0.500
0.000 0.000 0.000
0.500 0.500 0.000
```

Values from the calculation:
As for the density: 6.01 g cm⁻³. The uncorrected formation energy comes out at -1.56 eV/atom. The calculation puts the density of states at the Fermi level at 1.1 states/eV/f.u. The calculation puts the magnetic moment at 0.00 Bohr magnetons per cell. The total energy comes out at -5.8537 eV per atom. The energy above the lowest structure with this stoichiometry comes out at 67 meV/atom. The calculated volume comes out at 128 Å³/f.u.



(4)
A geometry-optimized YSe2I structure. Source: Alexandria, functional GGA-PBE.

The structure in POSCAR format:
```
YSe2I
1.0
1.936 1.118 9.768
-1.936 1.118 9.768
0.000 -2.235 9.768
Y Se I
1 2 1
direct
0.000 0.000 0.000
0.091 0.091 0.091
0.909 0.909 0.909
0.500 0.500 0.500
```

Values from the calculation:
As for the density: 4.89 g cm⁻³. The uncorrected formation energy comes out at 0.22 eV/atom. The calculation puts the density of states at the Fermi level at 3.7 states/eV/f.u. The calculation puts the magnetic moment at 0.00 Bohr magnetons per cell. The total energy comes out at -3.5225 eV per atom. The energy above the lowest structure with this stoichiometry comes out at 1331 meV/atom. The calculated volume comes out at 127 Å³/f.u.



(5)
A geometry-optimized Y3SeI3 structure. Source: Alexandria, functional GGA-PBE.

The structure in POSCAR format:
```
Y3SeI3
1.0
3.578 2.066 11.090
-3.578 2.066 11.090
0.000 -4.131 11.090
Y Se I
6 2 6
direct
0.124 0.455 0.787
0.213 0.876 0.545
0.455 0.787 0.124
0.545 0.213 0.876
0.787 0.124 0.455
0.876 0.545 0.213
0.167 0.167 0.167
0.833 0.833 0.833
0.059 0.730 0.394
0.270 0.606 0.941
0.394 0.059 0.730
0.606 0.941 0.270
0.730 0.394 0.059
0.941 0.270 0.606
```

Values from the calculation:
As for the density: 4.91 g cm⁻³. The uncorrected formation energy comes out at -1.32 eV/atom. The calculation puts the density of states at the Fermi level at 2.7 states/eV/f.u. The calculation puts the magnetic moment at 0.00 Bohr magnetons per cell. The total energy comes out at -5.2566 eV per atom. The calculated volume comes out at 246 Å³/f.u.



(6)
A geometry-optimized Y4Se4I3 structure. Source: Alexandria, functional GGA-PBE.

The structure in POSCAR format:
```
Y4Se4I3
1.0
-2.148 4.219 8.407
2.148 -4.219 8.407
2.148 4.219 -8.407
Y Se I
4 4 3
direct
0.228 0.228 0.000
0.285 0.500 0.785
0.715 0.500 0.215
0.772 0.772 0.000
0.036 0.332 0.704
0.372 0.668 0.704
0.628 0.332 0.296
0.964 0.668 0.296
0.000 0.000 0.000
0.402 0.902 0.500
0.598 0.098 0.500
```

Values from the calculation:
As for the density: 5.73 g cm⁻³. The uncorrected formation energy comes out at -1.45 eV/atom. The calculation puts the density of states at the Fermi level at 1.3 states/eV/f.u. The calculation puts the magnetic moment at 0.00 Bohr magnetons per cell. The total energy comes out at -5.4881 eV per atom. The calculated volume comes out at 305 Å³/f.u.



Repeat the fifth record exactly.
A geometry-optimized Y3SeI3 structure. Source: Alexandria, functional GGA-PBE.

The structure in POSCAR format:
```
Y3SeI3
1.0
3.578 2.066 11.090
-3.578 2.066 11.090
0.000 -4.131 11.090
Y Se I
6 2 6
direct
0.124 0.455 0.787
0.213 0.876 0.545
0.455 0.787 0.124
0.545 0.213 0.876
0.787 0.124 0.455
0.876 0.545 0.213
0.167 0.167 0.167
0.833 0.833 0.833
0.059 0.730 0.394
0.270 0.606 0.941
0.394 0.059 0.730
0.606 0.941 0.270
0.730 0.394 0.059
0.941 0.270 0.606
```

Values from the calculation:
As for the density: 4.91 g cm⁻³. The uncorrected formation energy comes out at -1.32 eV/atom. The calculation puts the density of states at the Fermi level at 2.7 states/eV/f.u. The calculation puts the magnetic moment at 0.00 Bohr magnetons per cell. The total energy comes out at -5.2566 eV per atom. The calculated volume comes out at 246 Å³/f.u.